# BaPuI4 PBE-GGA optimized geometry
# polymorph energy (0 for the lowest one) = 34 meV/atom
# crystal system = monoclinic
# uncorrected energy = -5.114 eV per atom
# uncorrected formation energy = -1.3715 eV/atom
data_BaPuI4
_chemical_formula_sum 'Ba2 Pu2 I8'
_cell_length_a 15.231
_cell_length_b 4.818
_cell_length_c 8.534
_cell_angle_alpha 90.00
_cell_angle_beta 101.88
_cell_angle_gamma 90.00
_symmetry_space_group_name_H-M 'C 1 2/m 1'
_symmetry_Int_Tables_number 12
loop_
_symmetry_equiv_pos_as_xyz
'x,y,z'
'-x,-y,-z'
'-x,y,-z'
'x,-y,z'
'x+1/2,y+1/2,z'
'-x+1/2,-y+1/2,-z'
'-x+1/2,y+1/2,-z'
'x+1/2,-y+1/2,z'
loop_
_atom_site_label
_atom_site_type_symbol
_atom_site_fract_x
_atom_site_fract_y
_atom_site_fract_z
_atom_site_occupancy
Ba1 Ba 0.000 0.000 0.000 1
Pu1 Pu 0.000 0.500 0.500 1
I1 I 0.118 0.000 0.396 1
I2 I 0.125 0.500 0.855 1

=====

# AlFe2Pb PBE-GGA optimized geometry
# polymorph energy (0 for the lowest one) = 154 meV/atom
# crystal system = orthorhombic
# uncorrected energy = -5.718 eV per atom
# DFT formation energy = 0.376 eV per atom
data_AlFe2Pb
_chemical_formula_sum 'Al2 Fe4 Pb2'
_cell_length_a 4.428
_cell_length_b 4.777
_cell_length_c 5.977
_cell_angle_alpha 90.00
_cell_angle_beta 90.00
_cell_angle_gamma 90.00
_symmetry_space_group_name_H-M 'I m m m'
_symmetry_Int_Tables_number 71
_symmetry_space_group_name_Hall '-I 2 2'
loop_
_atom_site_label
_atom_site_type_symbol
_atom_site_fract_x
_atom_site_fract_y
_atom_site_fract_z
_atom_site_occupancy
Al1 Al 0.000 0.000 0.000 1
Fe1 Fe 0.000 0.500 0.292 1
Pb1 Pb 0.000 0.000 0.500 1

=====

# Sn2PdPt7 PBE-GGA optimized geometry
# crystal system = orthorhombic
# uncorrected energy = -5.500 eV per atom
# DFT formation energy = 0.048 eV per atom
data_Sn2PdPt7
_chemical_formula_sum 'Sn4 Pd2 Pt14'
_cell_length_a 7.245
_cell_length_b 14.499
_cell_length_c 3.915
_cell_angle_alpha 90.00
_cell_angle_beta 90.00
_cell_angle_gamma 90.00
_symmetry_space_group_name_H-M 'C m m m'
_symmetry_Int_Tables_number 65
_symmetry_space_group_name_Hall '-C 2 2'
loop_
_atom_site_label
_atom_site_type_symbol
_atom_site_fract_x
_atom_site_fract_y
_atom_site_fract_z
_atom_site_occupancy
Sn1 Sn 0.000 0.192 0.000 1
Pd1 Pd 0.000 0.500 0.500 1
Pt1 Pt 0.000 0.000 0.000 1
Pt2 Pt 0.000 0.315 0.500 1
Pt3 Pt 0.188 0.402 0.000 1

=====

# AlBiSbO6 PBE-GGA optimized geometry
# crystal system = trigonal
# uncorrected energy = -6.318 eV per atom
# uncorrected formation energy = -1.7075 eV/atom
data_AlBiSbO6
_chemical_formula_sum 'Al2 Bi2 Sb2 O12'
_cell_length_a 5.1826
_cell_length_b 5.1826
_cell_length_c 9.5463
_cell_angle_alpha 90.00
_cell_angle_beta 90.00
_cell_angle_gamma 120.00
_symmetry_space_group_name_H-M 'P -3 1 c'
_symmetry_Int_Tables_number 163
_symmetry_space_group_name_Hall '-P 3 2c'
loop_
_atom_site_label
_atom_site_type_symbol
_atom_site_fract_x
_atom_site_fract_y
_atom_site_fract_z
_atom_site_occupancy
Al1 Al 0.3333 0.6667 0.2500 1
Bi1 Bi 0.0000 0.0000 0.0000 1
Sb1 Sb 0.3333 0.6667 0.7500 1
O1 O 0.0116 0.3701 0.1391 1

=====

# MgCd7Hg12 PBE-GGA optimized geometry
# crystal system = trigonal
# uncorrected energy = -0.567 eV per atom
# DFT formation energy = 0.014 eV per atom
data_MgCd7Hg12
_chemical_formula_sum 'Mg3 Cd21 Hg36'
_cell_length_a 14.7126
_cell_length_b 14.7126
_cell_length_c 8.1665
_cell_angle_alpha 90.00
_cell_angle_beta 90.00
_cell_angle_gamma 120.00
_symmetry_space_group_name_H-M 'R -3'
_symmetry_Int_Tables_number 148
_symmetry_space_group_name_Hall '-R 3'
loop_
_atom_site_label
_atom_site_type_symbol
_atom_site_fract_x
_atom_site_fract_y
_atom_site_fract_z
_atom_site_occupancy
Mg1 Mg 0.0000 0.0000 0.0000 1
Cd1 Cd 0.0000 0.0000 0.5000 1
Cd2 Cd 0.0683 0.8144 0.9094 1
Hg1 Hg 0.0099 0.2552 0.4458 1
Hg2 Hg 0.0389 0.8739 0.2442 1

=====

# CdRuRh3 PBE-GGA optimized geometry
# polymorph energy (0 for the lowest one) = 0 meV/atom
# crystal system = cubic
# uncorrected energy = -5.349 eV per atom
# DFT formation energy = 1.101 eV per atom
data_CdRuRh3
_chemical_formula_sum 'Cd1 Ru1 Rh3'
_cell_length_a 4.684
_cell_length_b 4.684
_cell_length_c 4.684
_cell_angle_alpha 90.00
_cell_angle_beta 90.00
_cell_angle_gamma 90.00
_symmetry_space_group_name_H-M 'P m -3 m'
_symmetry_Int_Tables_number 221
_symmetry_space_group_name_Hall '-P 4 2 3'
loop_
_atom_site_label
_atom_site_type_symbol
_atom_site_fract_x
_atom_site_fract_y
_atom_site_fract_z
_atom_site_occupancy
Cd1 Cd 0.000 0.000 0.000 1
Ru1 Ru 0.500 0.500 0.500 1
Rh1 Rh 0.000 0.500 0.500 1

=====

# NaAg3F4 PBE-GGA optimized geometry
# crystal system = orthorhombic
# uncorrected energy = -3.541 eV per atom
# uncorrected formation energy = -1.3714 eV/atom
data_NaAg3F4
_chemical_formula_sum 'Na2 Ag6 F8'
_cell_length_a 4.911
_cell_length_b 7.297
_cell_length_c 7.674
_cell_angle_alpha 90.00
_cell_angle_beta 90.00
_cell_angle_gamma 90.00
_symmetry_space_group_name_H-M 'P m m n'
_symmetry_Int_Tables_number 59
loop_
_symmetry_equiv_pos_as_xyz
'x,y,z'
'-x,-y,-z'
'-x+1/2,-y+1/2,z'
'x+1/2,y+1/2,-z'
'x+1/2,-y,-z'
'-x+1/2,y,z'
'-x,y+1/2,-z'
'x,-y+1/2,z'
loop_
_atom_site_label
_atom_site_type_symbol
_atom_site_fract_x
_atom_site_fract_y
_atom_site_fract_z
_atom_site_occupancy
Na1 Na 0.250 0.250 0.195 1
Ag1 Ag 0.250 0.046 0.653 1
Ag2 Ag 0.250 0.750 0.119 1
F1 F 0.250 0.250 0.906 1
F2 F 0.250 0.512 0.346 1
F3 F 0.250 0.750 0.813 1

=====

# InGeTe4Pb2 PBE-GGA optimized geometry
# crystal system = monoclinic
# uncorrected energy = -3.678 eV per atom
# uncorrected formation energy = -0.2601 eV/atom
data_InGeTe4Pb2
_chemical_formula_sum 'In1 Ge1 Te4 Pb2'
_cell_length_a 7.784
_cell_length_b 4.447
_cell_length_c 7.838
_cell_angle_alpha 90.00
_cell_angle_beta 109.17
_cell_angle_gamma 90.00
_symmetry_space_group_name_H-M 'P 1 2/m 1'
_symmetry_Int_Tables_number 10
loop_
_symmetry_equiv_pos_as_xyz
'x,y,z'
'-x,-y,-z'
'-x,y,-z'
'x,-y,z'
loop_
_atom_site_label
_atom_site_type_symbol
_atom_site_fract_x
_atom_site_fract_y
_atom_site_fract_z
_atom_site_occupancy
In1 In 0.000 0.000 0.000 1
Ge1 Ge 0.500 0.500 0.000 1
Te1 Te 0.250 0.500 0.233 1
Te2 Te 0.264 0.000 0.771 1
Pb1 Pb 0.000 0.500 0.500 1
Pb2 Pb 0.500 0.000 0.500 1

=====

| no. | D(E_F) (states/eV/atom) |
| --- | --- |
| 1 | 2.873 |
| 2 | 0.801 |
| 3 | 0.727 |
| 4 | 0.344 |
| 5 | 0.202 |
| 6 | 0.996 |
| 7 | 0.034 |
| 8 | 0.297 |